No. 1
## La2MgZn (PBE)

Data for La2MgZn after structural relaxation.

Output
space group: Cm (8)
offset from the most stable computed form: 3.9 kJ per mole of atoms

Cell lengths 6.4284, 6.4284, 5.4614 Å; angles 64.80, 64.80, 33.66 degrees
With the nearest neighbours (Å) after each atom.
Element x y z (fractional)
Zn  0.2282  0.2282  0.2718  2 Mg 2.78
Mg  0.5409  0.5409  0.4592  2 Zn 2.78
La  0.9753  0.9753  0.0249  2 Zn 3.30, 4 Mg 3.38, 4 La 3.61-3.65
La  0.7556  0.7556  0.7441  4 Zn 3.32, 4 La 3.61-3.65, 4 Mg 3.61-3.65

No. 2
## LiZnCl2 (PBE)

Data for LiZnCl2 after structural relaxation.

Output
space group: R-3m (166)
energy relative to the elements, uncorrected: -0.97 eV per atom
offset from the most stable computed form: 3.1 kJ per mole of atoms

Cell lengths 7.8869, 7.8869, 7.8869 Å; angles 26.81, 26.81, 26.81 degrees
With the nearest neighbours (Å) after each atom.
Element x y z (fractional)
Zn  0.0000  0.0000  0.0000  2 Cl 2.39
Li  0.5000  0.5000  0.5000  6 Cl 2.54
Cl  0.8953  0.8953  0.8953  1 Zn 2.39, 3 Li 2.54
Cl  0.1047  0.1047  0.1047  1 Zn 2.39, 3 Li 2.54